1.
The following is a PBE-GGA calculation of a relaxed structure of Sc2PdI, from Alexandria via LeMat-Bulk.

Structure (POSCAR):
```
Sc2PdI
1.0
1.7044 0.9840 9.6878
-1.7044 0.9840 9.6878
0.0000 -1.9681 9.6878
Sc Pd I
2 1 1
direct
0.0852 0.0852 0.0852 Sc
0.9148 0.9148 0.9148 Sc
0.0000 0.0000 0.0000 Pd
0.5000 0.5000 0.5000 I
```

N(E_F) ... 4.6 states/eV per cell
Uncorrected formation energy ... -0.04 eV/f.u.
M_tot ... 0.00 μB/cell
Space group ... R-3m
ΔE to the lowest computed polymorph ... 596 meV per atom

2.
The following is a PBE-GGA calculation of a relaxed structure of Tm2CuGe, from Alexandria via LeMat-Bulk.

Structure (POSCAR):
```
Tm2CuGe
1.0
4.8135 0.0000 0.0000
0.0000 4.8135 0.0000
0.0000 0.0000 3.6079
Tm Cu Ge
2 1 1
direct
0.0000 0.5000 0.0000 Tm
0.5000 0.0000 0.0000 Tm
0.0000 0.0000 0.5000 Cu
0.5000 0.5000 0.5000 Ge
```

N(E_F) ... 3.3 states/eV per cell
M_tot ... 0.00 μB/cell
DFT formation energy ... -47 kJ/mol of atoms
Space group ... P4/mmm

3.
The following is a PBE-GGA calculation of a relaxed structure of PmI4, from Alexandria via LeMat-Bulk.

Structure (POSCAR):
```
PmI4
1.0
6.1717 0.0000 0.0000
0.0000 6.1717 0.0000
0.0000 0.0000 6.1717
Pm I
1 4
direct
0.0000 0.0000 0.0000 Pm
0.0000 0.0000 0.5000 I
0.0000 0.5000 0.0000 I
0.5000 0.0000 0.0000 I
0.5000 0.5000 0.5000 I
```

N(E_F) ... 6.8 states/eV per cell
Uncorrected formation energy ... -4.07 eV/f.u.
M_tot ... 1.04 μB/cell
Space group ... Pm-3m
ΔE to the lowest computed polymorph ... 292 meV per atom

4.
The following is a PBE-GGA calculation of a relaxed structure of SrAlTeI2, from Alexandria via LeMat-Bulk.

Structure (POSCAR):
```
SrAlTeI2
1.0
5.6027 0.0000 0.0000
0.0000 5.6027 0.0000
0.0000 0.0000 5.6556
Sr Al Te I
1 1 1 2
direct
0.0000 0.0000 0.0000 Sr
0.5000 0.5000 0.5000 Al
0.5000 0.5000 0.0000 Te
0.0000 0.5000 0.5000 I
0.5000 0.0000 0.5000 I
```

N(E_F) ... 1.1 states/eV per cell
Uncorrected formation energy ... -3.63 eV/f.u.
M_tot ... 0.00 μB/cell
Space group ... P4/mmm
ΔE to the lowest computed polymorph ... 0 meV per atom

5.
The following is a PBE-GGA calculation of a relaxed structure of Na2HfPt, from Alexandria via LeMat-Bulk.

Structure (POSCAR):
```
Na2HfPt
1.0
-4.3995 4.3995 2.5908
4.3995 -4.3995 2.5908
4.3995 4.3995 -2.5908
Na Hf Pt
4 2 2
direct
0.0635 0.6250 0.9385 Na
0.3750 0.3135 0.4385 Na
0.6865 0.1250 0.0615 Na
0.8750 0.9365 0.5615 Na
0.2500 0.7500 0.5000 Hf
0.5000 0.5000 0.0000 Hf
0.0000 0.0000 0.0000 Pt
0.7500 0.2500 0.5000 Pt
```

N(E_F) ... 9.1 states/eV per cell
M_tot ... 0.00 μB/cell
DFT formation energy ... 40 kJ/mol of atoms
Space group ... I-42d
ΔE to the lowest computed polymorph ... 0 meV per atom

6.
The following is a PBE-GGA calculation of a relaxed structure of TaZn2W, from Alexandria via LeMat-Bulk.

Structure (POSCAR):
```
TaZn2W
1.0
3.3767 0.0000 0.0000
0.0000 3.3767 0.0000
0.0000 0.0000 5.7504
Ta Zn W
1 2 1
direct
0.0000 0.0000 0.0000 Ta
0.0000 0.0000 0.4883 Zn
0.5000 0.5000 0.7129 Zn
0.5000 0.5000 0.2111 W
```

N(E_F) ... 2.2 states/eV per cell
M_tot ... 0.00 μB/cell
DFT formation energy ... 21 kJ/mol of atoms
Space group ... P4mm
ΔE to the lowest computed polymorph ... 136 meV per atom

7.
The following is a PBE-GGA calculation of a relaxed structure of Y3MgRe, from Alexandria via LeMat-Bulk.

Structure (POSCAR):
```
Y3MgRe
1.0
5.4260 0.0000 0.0000
0.0000 5.4260 0.0000
0.0000 0.0000 5.4260
Y Mg Re
3 1 1
direct
0.0000 0.0000 0.5000 Y
0.0000 0.5000 0.0000 Y
0.5000 0.0000 0.0000 Y
0.5000 0.5000 0.5000 Mg
0.0000 0.0000 0.0000 Re
```

N(E_F) ... 4.4 states/eV per cell
M_tot ... 0.00 μB/cell
DFT formation energy ... 27 kJ/mol of atoms
Space group ... Pm-3m
ΔE to the lowest computed polymorph ... 0 meV per atom

8.
The following is a PBE-GGA calculation of a relaxed structure of AsPSe2Cl, from Alexandria via LeMat-Bulk.

Structure (POSCAR):
```
AsPSe2Cl
1.0
4.9257 0.0000 0.0000
0.0000 4.9257 0.0000
0.0000 0.0000 4.9292
As P Se Cl
1 1 2 1
direct
0.0000 0.0000 0.0000 As
0.5000 0.5000 0.0000 P
0.0000 0.5000 0.5000 Se
0.5000 0.0000 0.5000 Se
0.0000 0.0000 0.5000 Cl
```

N(E_F) ... 6.3 states/eV per cell
Uncorrected formation energy ... 6.79 eV/f.u.
M_tot ... 0.50 μB/cell
Space group ... P4/mmm
ΔE to the lowest computed polymorph ... 777 meV per atom

9.
The following is a PBE-GGA calculation of a relaxed structure of Y8Au, from Alexandria via LeMat-Bulk.

Structure (POSCAR):
```
Y8Au
1.0
-5.3051 5.3051 2.3836
5.3051 -5.3051 2.3836
5.3051 5.3051 -2.3836
Y Au
8 1
direct
0.0000 0.3331 0.3331 Y
0.0000 0.6669 0.6669 Y
0.3331 0.0000 0.3331 Y
0.3410 0.3410 0.6820 Y
0.3410 0.6590 0.0000 Y
0.6590 0.3410 0.0000 Y
0.6590 0.6590 0.3180 Y
0.6669 0.0000 0.6669 Y
0.0000 0.0000 0.0000 Au
```

N(E_F) ... 14.8 states/eV per cell
M_tot ... 0.00 μB/cell
DFT formation energy ... -6 kJ/mol of atoms
Space group ... I4/mmm

10.
The following is a PBE-GGA calculation of a relaxed structure of PuNpSe4, from Alexandria via LeMat-Bulk.

Structure (POSCAR):
```
PuNpSe4
1.0
-4.7114 4.7114 4.4539
4.7114 -4.7114 4.4539
4.7114 4.7114 -4.4539
Pu Np Se
2 2 8
direct
0.3750 0.6250 0.7500 Pu
0.6250 0.3750 0.2500 Pu
0.1250 0.8750 0.2500 Np
0.8750 0.1250 0.7500 Np
0.1144 0.6659 0.4485 Se
0.2825 0.3341 0.9485 Se
0.3341 0.2825 0.4485 Se
0.3341 0.8856 0.0515 Se
0.6659 0.1144 0.9485 Se
0.6659 0.7175 0.5515 Se
0.7175 0.6659 0.0515 Se
0.8856 0.3341 0.5515 Se
```

N(E_F) ... 43.6 states/eV per cell
Uncorrected formation energy ... -4.57 eV/f.u.
M_tot ... 13.99 μB/cell
Space group ... I4_1/amd
ΔE to the lowest computed polymorph ... 365 meV per atom

11.
The following is a PBE-GGA calculation of a relaxed structure of PuHfHg2, from Alexandria via LeMat-Bulk.

Structure (POSCAR):
```
PuHfHg2
1.0
3.1779 0.0000 0.0000
0.0000 3.1779 0.0000
0.0000 0.0000 9.0210
Pu Hf Hg
1 1 2
direct
0.0000 0.0000 0.0000 Pu
0.0000 0.0000 0.5000 Hf
0.5000 0.5000 0.2687 Hg
0.5000 0.5000 0.7313 Hg
```

N(E_F) ... 7.0 states/eV per cell
M_tot ... 5.77 μB/cell
DFT formation energy ... -6 kJ/mol of atoms
Space group ... P4/mmm
ΔE to the lowest computed polymorph ... 0 meV per atom

12.
The following is a PBE-GGA calculation of a relaxed structure of Tb15Er4Mg, from Alexandria via LeMat-Bulk.

Structure (POSCAR):
```
Tb15Er4Mg
1.0
4.9946 0.0000 0.0000
0.0000 4.9946 0.0000
0.0000 0.0000 25.0318
Tb Er Mg
15 4 1
direct
0.0000 0.0000 0.0000 Tb
0.0000 0.0000 0.1967 Tb
0.0000 0.0000 0.3990 Tb
0.0000 0.0000 0.6010 Tb
0.0000 0.0000 0.8033 Tb
0.0000 0.5000 0.0984 Tb
0.0000 0.5000 0.2987 Tb
0.0000 0.5000 0.5000 Tb
0.0000 0.5000 0.7013 Tb
0.0000 0.5000 0.9016 Tb
0.5000 0.0000 0.0984 Tb
0.5000 0.0000 0.2987 Tb
0.5000 0.0000 0.5000 Tb
0.5000 0.0000 0.7013 Tb
0.5000 0.0000 0.9016 Tb
0.5000 0.5000 0.1978 Er
0.5000 0.5000 0.3993 Er
0.5000 0.5000 0.6007 Er
0.5000 0.5000 0.8022 Er
0.5000 0.5000 0.0000 Mg
```

N(E_F) ... 26.5 states/eV per cell
M_tot ... 0.00 μB/cell
DFT formation energy ... 2 kJ/mol of atoms
Space group ... P4/mmm